Entry 1:
Material: Zn2CdC
Method: DFT, PBE
State: relaxed

a b c (Å): 4.4024 4.4024 4.4024
angles (deg): 60.00 60.00 60.00
Sites, in units of the cell vectors:
1 Zn 0.2500 0.2500 0.2500
2 Zn 0.7500 0.7500 0.7500
3 C 0.0000 0.0000 0.0000
4 Cd 0.5000 0.5000 0.5000

Values from the calculation:
Calculated formation energy   120.3 kJ/mol of atoms
SG   Fm-3m, No. 225


Entry 2:
Material: ReTcAu2
Method: DFT, PBE
State: relaxed

a b c (Å): 2.8296 3.9122 5.8917
angles (deg): 90.00 90.00 90.00
Sites, in units of the cell vectors:
1 Au 0.0000 0.0000 0.9960
2 Au 0.5000 0.5000 0.2547
3 Re 0.0000 0.0000 0.5271
4 Tc 0.5000 0.5000 0.7222

Values from the calculation:
Calculated formation energy   30.0 kJ/mol of atoms
SG   Pmm2, No. 25


Entry 3:
Material: Zn2AgHg
Method: DFT, PBE
State: relaxed

a b c (Å): 8.8066 8.8066 8.8066
angles (deg): 20.68 20.68 20.68
Sites, in units of the cell vectors:
1 Ag 0.5071 0.5071 0.5071
2 Hg 0.7463 0.7463 0.7463
3 Zn 0.9930 0.9930 0.9930
4 Zn 0.2537 0.2537 0.2537

Values from the calculation:
Calculated formation energy   9.1 kJ/mol of atoms
SG   R3m, No. 160


Entry 4:
Material: SrZrSc2Pb
Method: DFT, PBE
State: relaxed

a b c (Å): 5.4881 6.0534 5.4881
angles (deg): 90.00 90.00 90.00
Site moments in Bohr magnetons follow the coordinates.
Sites, in units of the cell vectors:
1 Pb 0.0000 0.0000 0.0000  0.01
2 Sr 0.0000 0.5000 0.0000  0.09
3 Sc 0.0000 0.0000 0.5000  0.41
4 Sc 0.5000 0.0000 0.0000  0.41
5 Zr 0.5000 0.5000 0.5000  1.45

Values from the calculation:
Calculated formation energy   72.9 kJ/mol of atoms
SG   P4/mmm, No. 123


The records above give, respectively, ρ values of 7.03; 17.27; 9.78; 4.33 g cm⁻³.
The records above give, respectively, DOS(E_F) values of 0.2; 3.6; 1.0; 7.4 states/eV per cell.
The records above give, respectively, uncorrected energy values of -1.93; -7.03; -1.33; -4.56 eV/atom.